{"formula": "RbTaNO2", "functional": "GGA-PBE", "state": "relaxed", "lattice_angstrom": [[-2.731, -3.211, 0.375], [0.622, -1.003, -4.065], [3.238, -2.620, 1.142]], "species": ["O", "Rb", "O", "Ta", "N"], "fractional_positions": [[0.000, 0.500, 0.000], [0.000, 0.000, 0.000], [0.500, 0.000, 0.000], [0.500, 0.500, 0.500], [0.000, 0.000, 0.500]], "e_form_raw_ev_per_fu": 10.4, "volume_a3_per_atom": 15.5, "total_magnetization_mub_per_fu": 0.0, "rho_g_cm3": 6.71, "total_energy_ev_per_atom": -4.14}